VASP calculation (PBE) on a geometry-optimized AcPmThSc structure.

Electronic total energy: -5.491 eV/atom
Symmetry: F-43m (216)
Calculated formation energy: 0.16 eV per atom

Cell: 5.736 5.736 5.736 Å, 60.00 60.00 60.00°
Element x y z (fractional)
Sc (0.000, 0.000, 0.000)
Ac (0.750, 0.750, 0.750)
Th (0.250, 0.250, 0.250)
Pm (0.500, 0.500, 0.500)